Below is a crystal of LiCo2Tc relaxed with PBEsol, with properties calculated at the SCAN level.

```
LiCo2Tc
1.0
-0.597 3.448 -1.850
-0.121 0.130 -3.954
-3.430 0.684 -1.854
Tc Co Li
1 2 1
direct
0.250 0.250 0.250 Tc
0.000 0.000 0.000 Co
0.750 0.750 0.750 Co
0.500 0.500 0.500 Li
```

Summary:
Formation energy from the elements ... 1.4 eV per formula unit
M_tot ... 1.88 μB/f.u.